An optimized crystal structure of Co2TePb. Source: the Alexandria database, functional PBE.

Calculated values
DFT total energy = -0.184 Ha/atom
Space-group type = Pm, No. 6
Formation energy (no corrections) = 251.3 meV/atom
Density of states at the Fermi level = 1.00 states/eV/atom
Density = 10.1 g cm⁻³

Unit cell a=3.9469 b=3.8157 c=5.3048 alpha=69.00 beta=90.00 gamma=90.00
Site moments in Bohr magnetons follow the coordinates.
Element x y z (fractional)
Co  0.0000  0.1955  0.9837  1.37
Co  0.5000  0.0661  0.2426  1.27
Pb  0.0000  0.4771  0.4191  -0.04
Te  0.5000  0.7613  0.8546  0.03



An optimized crystal structure of TaNbAu4. Source: the Alexandria database, functional PBE.

Calculated values
DFT total energy = -0.218 Ha/atom
Space-group type = Cmmm, No. 65
Density of states at the Fermi level = 0.73 states/eV/atom
Energy of formation = -53 kJ/mol of formula units
Density = 16.5 g cm⁻³

Unit cell a=4.1532 b=4.1489 c=6.5547 alpha=90.00 beta=108.47 gamma=90.00
Element x y z (fractional)
Ta  0.0000  0.0000  0.0000
Nb  0.5000  0.5000  0.0000
Au  0.3387  0.0000  0.6775
Au  0.6613  0.0000  0.3225
Au  0.8384  0.5000  0.6769
Au  0.1616  0.5000  0.3231



An optimized crystal structure of Nd2GaF. Source: the Alexandria database, functional PBE.

Calculated values
DFT total energy = -0.184 Ha/atom
Space-group type = R-3m, No. 166
Formation energy (no corrections) = -1385.1 meV/atom
Density of states at the Fermi level = 0.46 states/eV/atom
Density = 5.6 g cm⁻³

Unit cell a=3.8271 b=3.8271 c=9.1094 alpha=77.87 beta=77.87 gamma=60.00
Element x y z (fractional)
Nd  0.0865  0.0865  0.7405
Nd  0.9135  0.9135  0.2595
Ga  0.5000  0.5000  0.5000
F  0.0000  0.0000  0.0000



An optimized crystal structure of Nd2Ni3AgSb4. Source: the Alexandria database, functional PBE.

Calculated values
DFT total energy = -0.190 Ha/atom
Space-group type = P-4m2, No. 115
Formation energy (no corrections) = -559.4 meV/atom
Density of states at the Fermi level = 0.36 states/eV/atom
Density = 8.3 g cm⁻³

Unit cell a=4.5342 b=4.5342 c=10.3327 alpha=90.00 beta=90.00 gamma=90.00
Element x y z (fractional)
Nd  0.5000  0.0000  0.2495
Nd  0.0000  0.5000  0.7505
Ni  0.0000  0.0000  0.5000
Ni  0.5000  0.0000  0.8831
Ni  0.0000  0.5000  0.1169
Ag  0.5000  0.5000  0.5000
Sb  0.5000  0.5000  0.0000
Sb  0.0000  0.0000  0.0000
Sb  0.5000  0.0000  0.6417
Sb  0.0000  0.5000  0.3583



An optimized crystal structure of GdErMnCd. Source: the Alexandria database, functional PBE.

Calculated values
DFT total energy = -0.265 Ha/atom
Space-group type = F-43m, No. 216
Density of states at the Fermi level = 1.29 states/eV/atom
Energy of formation = -10 kJ/mol of formula units
Density = 8.4 g cm⁻³

Unit cell a=5.1596 b=5.1596 c=5.1596 alpha=60.00 beta=60.00 gamma=60.00
Site moments in Bohr magnetons follow the coordinates.
Element x y z (fractional)
Cd  0.7500  0.7500  0.7500  0.03
Gd  0.5000  0.5000  0.5000  7.25
Mn  0.2500  0.2500  0.2500  -3.57
Er  0.0000  0.0000  0.0000  0.28



An optimized crystal structure of CsKAg. Source: the Alexandria database, functional PBE.

Calculated values
DFT total energy = -0.058 Ha/atom
Space-group type = Cmcm, No. 63
Density of states at the Fermi level = 0.37 states/eV/atom
Energy of formation = 6 kJ/mol of formula units
Density = 2.9 g cm⁻³

Unit cell a=5.5090 b=5.1834 c=11.7273 alpha=90.00 beta=103.58 gamma=90.00
Element x y z (fractional)
Cs  0.5794  0.7500  0.1588
Cs  0.4206  0.2500  0.8412
K  0.8088  0.7500  0.6177
K  0.1912  0.2500  0.3823
Ag  0.9705  0.7500  0.9410
Ag  0.0295  0.2500  0.0590